No. 1
Computed, not measured: KBaTlHg after structural relaxation at the PBE level of DFT.

Unit cell a=8.425 b=8.425 c=8.425 alpha=90.00 beta=90.00 gamma=90.00
Space group F-43m (No. 216)
Asymmetric unit:
K 0.000 0.000 0.000 (multiplicity 4)
Ba 0.000 0.000 0.500 (multiplicity 4)
Tl 0.250 0.250 0.750 (multiplicity 4)
Hg 0.250 0.250 0.250 (multiplicity 4)

Summary:
- crystal system = cubic
- ΔH_f (0 K) (kJ/mol of atoms) = -24.6
- density of states at the Fermi level (states/eV per atom) = 1.09

No. 2
Computed, not measured: ZrSiRu2Cl after structural relaxation at the PBE level of DFT.

Unit cell a=4.405 b=4.405 c=5.211 alpha=90.00 beta=90.00 gamma=90.00
Space group P4/mmm (No. 123)
Asymmetric unit:
Zr 0.000 0.000 0.000 (multiplicity 1)
Si 0.000 0.000 0.500 (multiplicity 1)
Ru 0.000 0.500 0.500 (multiplicity 2)
Cl 0.500 0.500 0.000 (multiplicity 1)

Summary:
- energy relative to the elements, uncorrected (eV per formula unit) = 2.856
- crystal system = tetragonal
- density of states at the Fermi level (states/eV per atom) = 0.98

No. 3
Computed, not measured: DyHRh after structural relaxation at the PBE level of DFT.

Unit cell a=3.7621 b=3.7621 c=3.7035 alpha=90.00 beta=90.00 gamma=120.00
Space group P-6m2 (No. 187)
Asymmetric unit:
Dy 0.0000 0.0000 0.0000 (multiplicity 1)
H 0.3333 0.6667 0.5000 (multiplicity 1)
Rh 0.6667 0.3333 0.5000 (multiplicity 1)

Summary:
- crystal system = hexagonal
- energy relative to the lowest polymorph listed for this composition (meV/atom) = 319
- density of states at the Fermi level (states/eV per atom) = 0.46

No. 4
Computed, not measured: CsRb2AsPt after structural relaxation at the PBE level of DFT.

Unit cell a=6.718 b=6.718 c=4.759 alpha=90.00 beta=90.00 gamma=90.00
Space group P4/mmm (No. 123)
Asymmetric unit:
Cs 0.000 0.000 0.000 (multiplicity 1)
Rb 0.000 0.500 0.500 (multiplicity 2)
As 0.500 0.500 0.000 (multiplicity 1)
Pt 0.500 0.500 0.500 (multiplicity 1)

Summary:
- crystal system = tetragonal
- ΔH_f (0 K) (kJ/mol of atoms) = -15.6
- energy relative to the lowest polymorph listed for this composition (meV/atom) = 0
- density of states at the Fermi level (states/eV per atom) = 0.60

No. 5
Computed, not measured: BaY2P2 after structural relaxation at the PBE level of DFT.

Unit cell a=8.155 b=8.155 c=3.769 alpha=90.00 beta=90.00 gamma=90.00
Space group P4/mbm (No. 127)
Asymmetric unit:
Ba 0.000 0.000 0.000 (multiplicity 2)
Y 0.147 0.353 0.500 (multiplicity 4)
P 0.144 0.644 0.000 (multiplicity 4)

Summary:
- crystal system = tetragonal
- ΔH_f (0 K) (kJ/mol of atoms) = -89.1
- energy relative to the lowest polymorph listed for this composition (meV/atom) = 76
- density of states at the Fermi level (states/eV per atom) = 0.98

No. 6
Computed, not measured: Ba2NaCu2 after structural relaxation at the PBE level of DFT.

Unit cell a=8.638 b=8.638 c=4.485 alpha=90.00 beta=90.00 gamma=90.00
Space group P4/mbm (No. 127)
Asymmetric unit:
Ba 0.177 0.323 0.000 (multiplicity 4)
Na 0.000 0.000 0.500 (multiplicity 2)
Cu 0.103 0.603 0.500 (multiplicity 4)

Summary:
- crystal system = tetragonal
- ΔH_f (0 K) (kJ/mol of atoms) = -0.4
- energy relative to the lowest polymorph listed for this composition (meV/atom) = 28
- density of states at the Fermi level (states/eV per atom) = 0.66

No. 7
Computed, not measured: CaSi3Hg after structural relaxation at the PBE level of DFT.

Unit cell a=5.121 b=5.121 c=5.121 alpha=90.00 beta=90.00 gamma=90.00
Space group Pm-3m (No. 221)
Asymmetric unit:
Ca 0.000 0.000 0.000 (multiplicity 1)
Si 0.000 0.500 0.500 (multiplicity 3)
Hg 0.500 0.500 0.500 (multiplicity 1)

Summary:
- energy relative to the elements, uncorrected (eV per formula unit) = 4.008
- crystal system = cubic
- energy relative to the lowest polymorph listed for this composition (meV/atom) = 0
- density of states at the Fermi level (states/eV per atom) = 0.74

No. 8
Computed, not measured: Pu2Ge6PdPt after structural relaxation at the PBE level of DFT.

Unit cell a=6.1756 b=6.1756 c=38.3358 alpha=90.00 beta=90.00 gamma=120.00
Space group R-3m (No. 166, hexagonal axes)
Asymmetric unit:
Pu 0.0000 0.0000 0.1030 (multiplicity 6)
Pu 0.0000 0.0000 0.3003 (multiplicity 6)
Ge 0.0470 0.5235 0.2934 (multiplicity 18)
Ge 0.0634 0.5317 0.8712 (multiplicity 18)
Pd 0.0000 0.0000 0.0000 (multiplicity 3)
Pd 0.0000 0.0000 0.5000 (multiplicity 3)
Pt 0.0000 0.0000 0.4278 (multiplicity 6)

Summary:
- crystal system = trigonal
- ΔH_f (0 K) (kJ/mol of atoms) = -25.9
- density of states at the Fermi level (states/eV per atom) = 2.16

No. 9
Computed, not measured: ZrTeP2 after structural relaxation at the PBE level of DFT.

Unit cell a=5.994 b=5.994 c=12.587 alpha=90.00 beta=90.00 gamma=90.00
Space group I-42d (No. 122)
Asymmetric unit:
Zr 0.000 0.000 0.000 (multiplicity 4)
Te 0.000 0.000 0.500 (multiplicity 4)
P 0.220 0.250 0.125 (multiplicity 8)

Summary:
- energy relative to the elements, uncorrected (eV per formula unit) = 0.405
- crystal system = tetragonal
- energy relative to the lowest polymorph listed for this composition (meV/atom) = 688
- density of states at the Fermi level (states/eV per atom) = 0.83

No. 10
Computed, not measured: La14ScHg after structural relaxation at the PBE level of DFT.

Unit cell a=10.434 b=10.252 c=10.264 alpha=90.00 beta=90.00 gamma=90.00
Space group Amm2 (No. 38)
Asymmetric unit:
La 0.000 0.000 0.000 (multiplicity 2)
La 0.000 0.000 0.499 (multiplicity 2)
La 0.000 0.250 0.250 (multiplicity 4)
La 0.257 0.000 0.751 (multiplicity 4)
La 0.258 0.248 0.000 (multiplicity 8)
La 0.259 0.000 0.248 (multiplicity 4)
La 0.500 0.249 0.750 (multiplicity 4)
Sc 0.500 0.000 0.500 (multiplicity 2)
Hg 0.500 0.000 0.000 (multiplicity 2)

Summary:
- crystal system = orthorhombic
- ΔH_f (0 K) (kJ/mol of atoms) = -3.5
- density of states at the Fermi level (states/eV per atom) = 1.36

No. 11
Computed, not measured: MnAgW2 after structural relaxation at the PBE level of DFT.

Unit cell a=2.8055 b=2.8055 c=28.4739 alpha=90.00 beta=90.00 gamma=120.00
Space group R3m (No. 160, hexagonal axes)
Asymmetric unit:
Mn 0.0000 0.0000 0.0000 (multiplicity 3)
Ag 0.0000 0.0000 0.2516 (multiplicity 3)
W 0.0000 0.0000 0.4969 (multiplicity 3)
W 0.0000 0.0000 0.7452 (multiplicity 3)

Summary:
- crystal system = trigonal
- ΔH_f (0 K) (kJ/mol of atoms) = 47.4
- energy relative to the lowest polymorph listed for this composition (meV/atom) = 165
- density of states at the Fermi level (states/eV per atom) = 0.97